[1]
Entry from the Alexandria database: RbNF4 after structural relaxation (GGA-PBE).

Properties
- Energy above the lowest structure with this stoichiometry: 0 meV per atom
- Calculated volume: 17.0 A^3/atom
- Raw formation energy: -103.1 kJ/mol of atoms

a b c (Å): 4.9305 4.9305 8.6838
angles (deg): 100.58 100.58 86.59
With the nearest neighbours (Å) after each atom.
Element x y z (fractional)
Rb1 0.0000 0.0000 0.0000  8 F 2.93-3.23
Rb2 0.0000 0.0000 0.5000  8 F 2.93-3.23
N1 0.3910 0.6090 0.7500  2 F 1.38
N2 0.6090 0.3910 0.2500  2 F 1.38
F1 0.1157 0.4004 0.7961  1 N 1.89
F2 0.4004 0.1157 0.2961  1 N 1.89
F3 0.4125 0.4480 0.1244  1 N 1.38
F4 0.4480 0.4125 0.6244  1 N 1.38
F5 0.5520 0.5875 0.3756  1 N 1.38
F6 0.5875 0.5520 0.8756  1 N 1.38
F7 0.5996 0.8843 0.7039  1 N 1.89
F8 0.8843 0.5996 0.2039  1 N 1.89



[2]
Entry from the Alexandria database: BaLaRh after structural relaxation (GGA-PBE).

Properties
- Energy of formation: -0.405 eV/atom
- Energy above the lowest structure with this stoichiometry: 4 meV per atom
- Calculated volume: 37.8 A^3/atom

a b c (Å): 7.2930 8.7435 7.5928
angles (deg): 90.00 110.33 90.00
With the nearest neighbours (Å) after each atom.
Element x y z (fractional)
Ba1 0.2357 0.1275 0.4756  3 Rh 3.18-3.27
Ba2 0.2357 0.3725 0.9756  3 Rh 3.18-3.27
Ba3 0.7643 0.6275 0.0244  3 Rh 3.18-3.27
Ba4 0.7643 0.8725 0.5244  3 Rh 3.18-3.27
La1 0.2975 0.6251 0.5251  3 Rh 2.68-2.86
La2 0.2975 0.8749 0.0251  3 Rh 2.68-2.86
La3 0.7025 0.1251 0.9749  3 Rh 2.68-2.86
La4 0.7025 0.3749 0.4749  3 Rh 2.68-2.86
Rh1 0.4728 0.6243 0.2683  3 La 2.68-2.86
Rh2 0.4728 0.8757 0.7683  3 La 2.68-2.86
Rh3 0.5272 0.1243 0.2317  3 La 2.68-2.86
Rh4 0.5272 0.3757 0.7317  3 La 2.68-2.86



[3]
Entry from the Alexandria database: ZnRh4 after structural relaxation (GGA-PBE).

Properties
- Energy of formation: 0.836 eV/atom
- Energy above the lowest structure with this stoichiometry: 963 meV per atom
- Calculated volume: 17.3 A^3/atom

a b c (Å): 4.8265 4.8265 4.8265
angles (deg): 109.47 109.47 109.47
With the nearest neighbours (Å) after each atom.
Element x y z (fractional)
Zn1 0.0000 0.0000 0.0000  8 Rh 2.41
Rh1 0.0000 0.0000 0.5000  2 Zn 2.41
Rh2 0.0000 0.5000 0.0000  2 Zn 2.41
Rh3 0.5000 0.0000 0.0000  2 Zn 2.41
Rh4 0.5000 0.5000 0.5000  2 Zn 2.41



[4]
Entry from the Alexandria database: NdScSb2 after structural relaxation (GGA-PBE).

Properties
- Energy above the lowest structure with this stoichiometry: 0 meV per atom
- Calculated volume: 29.0 A^3/atom
- Raw formation energy: -101.0 kJ/mol of atoms

a b c (Å): 7.4993 7.4993 7.4993
angles (deg): 33.78 33.78 33.78
With the nearest neighbours (Å) after each atom.
Element x y z (fractional)
Nd1 0.0000 0.0000 0.0000  6 Sb 3.17
Sc1 0.5000 0.5000 0.5000  6 Sb 2.98
Sb1 0.2420 0.2420 0.2420  3 Sc 2.98, 3 Nd 3.17
Sb2 0.7580 0.7580 0.7580  3 Sc 2.98, 3 Nd 3.17



[5]
Entry from the Alexandria database: V14FeRe after structural relaxation (GGA-PBE).

Properties
- Energy of formation: -0.103 eV/atom
- Calculated volume: 13.3 A^3/atom

a b c (Å): 5.1727 5.1727 8.4161
angles (deg): 90.00 90.00 109.69
With the nearest neighbours (Å) after each atom.
Element x y z (fractional)
V1 0.0000 0.0000 0.0000  8 V 2.59
V2 0.0000 0.5000 0.0000  8 V 2.56-2.59
V3 0.0000 0.5000 0.5000  2 Fe 2.59, 2 Re 2.59, 4 V 2.59
V4 0.2472 0.2472 0.2536  1 Fe 2.54, 1 Re 2.56, 6 V 2.57-2.61
V5 0.2472 0.2472 0.7464  1 Fe 2.54, 1 Re 2.56, 6 V 2.57-2.61
V6 0.2497 0.7503 0.2476  8 V 2.56-2.60
V7 0.2497 0.7503 0.7524  8 V 2.56-2.60
V8 0.5000 0.0000 0.0000  8 V 2.56-2.59
V9 0.5000 0.0000 0.5000  2 Fe 2.59, 2 Re 2.59, 4 V 2.59
V10 0.5000 0.5000 0.0000  8 V 2.59-2.61
V11 0.7503 0.2497 0.2476  8 V 2.56-2.60
V12 0.7503 0.2497 0.7524  8 V 2.56-2.60
V13 0.7528 0.7528 0.2536  1 Fe 2.54, 1 Re 2.56, 6 V 2.57-2.61
V14 0.7528 0.7528 0.7464  1 Fe 2.54, 1 Re 2.56, 6 V 2.57-2.61
Fe1 0.0000 0.0000 0.5000  8 V 2.54-2.59
Re1 0.5000 0.5000 0.5000  8 V 2.56-2.59



[6]
Entry from the Alexandria database: TaRuAu3 after structural relaxation (GGA-PBE).

Properties
- Energy of formation: 1.593 eV/atom
- Energy above the lowest structure with this stoichiometry: 0 meV per atom
- Calculated volume: 25.8 A^3/atom

a b c (Å): 5.0516 5.0516 5.0516
angles (deg): 90.00 90.00 90.00
With the nearest neighbours (Å) after each atom.
Element x y z (fractional)
Ta1 0.0000 0.0000 0.0000  6 Au 2.53
Ru1 0.5000 0.5000 0.5000  12 Au 3.57
Au1 0.0000 0.0000 0.5000  2 Ta 2.53
Au2 0.0000 0.5000 0.0000  2 Ta 2.53
Au3 0.5000 0.0000 0.0000  2 Ta 2.53



[7]
Entry from the Alexandria database: GaPb2O after structural relaxation (GGA-PBE).

Properties
- Energy above the lowest structure with this stoichiometry: 0 meV per atom
- Calculated volume: 27.3 A^3/atom
- Raw formation energy: -18.1 kJ/mol of atoms

a b c (Å): 7.4459 7.4459 7.4459
angles (deg): 132.71 132.71 69.12
With the nearest neighbours (Å) after each atom.
Element x y z (fractional)
Ga1 0.0000 0.0000 0.0000  4 Pb 2.86
Ga2 0.7500 0.2500 0.5000  4 Pb 2.86
Pb1 0.1922 0.6250 0.0672  2 O 2.40
Pb2 0.3750 0.4422 0.5672  2 O 2.40
Pb3 0.5578 0.1250 0.9328  2 O 2.40
Pb4 0.8750 0.8078 0.4328  2 O 2.40
O1 0.2500 0.7500 0.5000  4 Pb 2.40
O2 0.5000 0.5000 0.0000  4 Pb 2.40



[8]
Entry from the Alexandria database: Cs2CN2 after structural relaxation (GGA-PBE).

Properties
- Calculated volume: 21.8 A^3/atom
- Raw formation energy: 56.1 kJ/mol of atoms

a b c (Å): 9.4978 9.4978 7.0857
angles (deg): 90.00 90.00 160.03
With the nearest neighbours (Å) after each atom.
Element x y z (fractional)
Cs1 0.0395 0.9605 0.5000  5 N 3.07-3.22, 2 Cs 3.29, 2 C 3.38
Cs2 0.2264 0.7736 0.2572  5 N 2.99-3.25, 3 C 3.29-3.30, 2 Cs 3.29
Cs3 0.7736 0.2264 0.7572  5 N 2.99-3.25, 3 C 3.29-3.30, 2 Cs 3.29
Cs4 0.9605 0.0395 0.0000  5 N 3.07-3.22, 2 Cs 3.29, 2 C 3.38
C1 0.3822 0.6178 0.4767  1 N 1.23
C2 0.6178 0.3822 0.9767  1 N 1.23
N1 0.1448 0.8552 0.8518  2 C 1.94
N2 0.4106 0.5894 0.6328  1 C 1.23
N3 0.5894 0.4106 0.1328  1 C 1.23
N4 0.8552 0.1448 0.3518  2 C 1.94



[9]
Entry from the Alexandria database: MgBeZn2 after structural relaxation (GGA-PBE).

Properties
- Energy of formation: 0.177 eV/atom
- Energy above the lowest structure with this stoichiometry: 69 meV per atom
- Calculated volume: 14.7 A^3/atom

a b c (Å): 4.7415 4.7415 4.7415
angles (deg): 131.35 131.35 71.26
With the nearest neighbours (Å) after each atom.
Element x y z (fractional)
Mg1 0.0000 0.0000 0.0000  4 Be 2.74, 8 Zn 2.74-2.76
Be1 0.7500 0.2500 0.5000  4 Mg 2.74, 8 Zn 2.74-2.76
Zn1 0.2500 0.7500 0.5000  4 Mg 2.74, 4 Zn 2.74, 4 Be 2.76
Zn2 0.5000 0.5000 0.0000  4 Be 2.74, 4 Zn 2.74, 4 Mg 2.76



[10]
Entry from the Alexandria database: BePb3 after structural relaxation (GGA-PBE).

Properties
- Energy of formation: 0.326 eV/atom
- Energy above the lowest structure with this stoichiometry: 70 meV per atom
- Calculated volume: 26.7 A^3/atom

a b c (Å): 9.5385 9.5385 9.5385
angles (deg): 22.01 22.01 22.01
With the nearest neighbours (Å) after each atom.
Element x y z (fractional)
Be1 0.0000 0.0000 0.0000  6 Pb 2.70
Pb1 0.2724 0.2724 0.2724  3 Be 2.70
Pb2 0.5000 0.5000 0.5000  12 Pb 3.62-3.64
Pb3 0.7276 0.7276 0.7276  3 Be 2.70



[11]
Entry from the Alexandria database: PrDyZr after structural relaxation (GGA-PBE).

Properties
- Energy of formation: 0.225 eV/atom
- Energy above the lowest structure with this stoichiometry: 114 meV per atom
- Calculated volume: 31.3 A^3/atom

a b c (Å): 4.7301 4.7301 8.4029
angles (deg): 90.00 90.00 90.00
With the nearest neighbours (Å) after each atom.
Element x y z (fractional)
Pr1 0.2500 0.2500 0.2045  5 Dy 3.35-3.61, 4 Zr 3.43
Pr2 0.7500 0.7500 0.7955  5 Dy 3.35-3.61, 4 Zr 3.43
Dy1 0.2500 0.2500 0.7752  4 Zr 3.31, 5 Pr 3.35-3.61
Dy2 0.7500 0.7500 0.2248  4 Zr 3.31, 5 Pr 3.35-3.61
Zr1 0.2500 0.7500 0.5000  4 Dy 3.31, 4 Zr 3.34, 4 Pr 3.43
Zr2 0.7500 0.2500 0.5000  4 Dy 3.31, 4 Zr 3.34, 4 Pr 3.43



[12]
Entry from the Alexandria database: LaSmCo after structural relaxation (GGA-PBE).

Properties
- Energy of formation: -0.059 eV/atom
- Energy above the lowest structure with this stoichiometry: 37 meV per atom
- Calculated volume: 29.7 A^3/atom

a b c (Å): 4.0105 4.0105 6.4014
angles (deg): 90.00 90.00 120.00
With the nearest neighbours (Å) after each atom.
Element x y z (fractional)
La1 0.0000 0.0000 0.0000  3 Co 2.73
Sm1 0.6667 0.3333 0.5433  3 Co 2.75
Co1 0.3333 0.6667 0.7755  3 La 2.73, 3 Sm 2.75